Here is a relaxed Mn2AgPb crystal from the Alexandria database. Energies are from GGA-PBEsol. Values from VASP.

```
&SYSTEM
  ibrav = 0, nat = 4, ntyp = 3
/
ATOMIC_SPECIES
Mn 54.94 Mn.upf
Ag 107.87 Ag.upf
Pb 207.20 Pb.upf
ATOMIC_POSITIONS crystal
Mn 0.733 0.467 0.232
Ag 0.263 0.527 0.765
Pb 0.500 0.999 0.499
Mn 0.004 0.007 0.004
CELL_PARAMETERS angstrom
-1.832 -0.764 -2.470
1.139 -4.617 2.615
-3.499 2.283 1.889
```

Density of states at the Fermi level   0.71 states/eV per atom
Calculated formation energy   51.3 kJ per mole of atoms
SG   Cm (8)
Magnetic moment   7.09 μB/cell